# 1
Compound: Cs2AsRu
Source: Alexandria
Functional: meta-GGA SCAN
Structure: single point on PBEsol structure

Cell lengths 5.6713, 5.6713, 5.6713 Å; angles 60.00, 60.00, 60.00 degrees
Closest atoms and distances in Å follow each position.
Sites, in units of the cell vectors:
Cs (0.2500, 0.2500, 0.2500)  4 As 3.47, 4 Ru 3.47
Cs (0.7500, 0.7500, 0.7500)  4 As 3.47, 4 Ru 3.47
Ru (0.5000, 0.5000, 0.5000)  8 Cs 3.47
As (0.0000, 0.0000, 0.0000)  8 Cs 3.47

## Properties
space group: No. 225
energy of formation from the pure elements: 118 kJ/mol of atoms

# 2
Compound: ErTaO4
Source: Alexandria
Functional: meta-GGA SCAN
Structure: single point on PBEsol structure

Cell lengths 5.0235, 5.2532, 6.4130 Å; angles 111.75, 110.54, 95.71 degrees
Closest atoms and distances in Å follow each position.
Sites, in units of the cell vectors:
Er (0.1182, 0.3682, 0.7364)  8 O 2.26-2.41
Er (0.8818, 0.6318, 0.2636)  8 O 2.26-2.41
Ta (0.6486, 0.8986, 0.7973)  4 O 1.87-1.95
Ta (0.3514, 0.1014, 0.2027)  4 O 1.87-1.95
O (0.9441, 0.7248, 0.9396)  1 Ta 1.95
O (0.4955, 0.2148, 0.9396)  1 Ta 1.95
O (0.0559, 0.2752, 0.0604)  1 Ta 1.95
O (0.5045, 0.7852, 0.0604)  1 Ta 1.95
O (0.7874, 0.9472, 0.5755)  1 Ta 1.87
O (0.2881, 0.6284, 0.5755)  1 Ta 1.87
O (0.2126, 0.0528, 0.4245)  1 Ta 1.87
O (0.7119, 0.3716, 0.4245)  1 Ta 1.87

## Properties
space group: No. 15
uncorrected formation energy: -3.57 eV per atom

# 3
Compound: MnIn2O4
Source: Alexandria
Functional: meta-GGA SCAN
Structure: single point on PBEsol structure

Cell lengths 6.3763, 6.3763, 6.3763 Å; angles 60.00, 60.00, 60.00 degrees
Closest atoms and distances in Å follow each position.
Sites, in units of the cell vectors:
Mn (0.5000, 0.5000, 0.5000)  4 O 2.07
Mn (0.7500, 0.7500, 0.7500)  4 O 2.07
In (0.1250, 0.1250, 0.6250)  6 O 2.19
In (0.1250, 0.6250, 0.1250)  6 O 2.19
In (0.1250, 0.1250, 0.1250)  6 O 2.19
In (0.6250, 0.1250, 0.1250)  6 O 2.19
O (0.8823, 0.8823, 0.3531)  1 Mn 2.07, 3 In 2.19
O (0.8969, 0.3677, 0.3677)  1 Mn 2.07, 3 In 2.19
O (0.8823, 0.8823, 0.8823)  1 Mn 2.07, 3 In 2.19
O (0.8823, 0.3531, 0.8823)  1 Mn 2.07, 3 In 2.19
O (0.3677, 0.8969, 0.3677)  1 Mn 2.07, 3 In 2.19
O (0.3677, 0.3677, 0.3677)  1 Mn 2.07, 3 In 2.19
O (0.3531, 0.8823, 0.8823)  1 Mn 2.07, 3 In 2.19
O (0.3677, 0.3677, 0.8969)  1 Mn 2.07, 3 In 2.19

## Properties
space group: No. 227
uncorrected formation energy: -1.85 eV per atom

# 4
Compound: CrOs3Au
Source: Alexandria
Functional: meta-GGA SCAN
Structure: single point on PBEsol structure

Cell lengths 4.7643, 4.7643, 4.7643 Å; angles 90.00, 90.00, 90.00 degrees
Closest atoms and distances in Å follow each position.
Sites, in units of the cell vectors:
Os (0.0000, 0.5000, 0.0000)  2 Au 2.38
Os (0.0000, 0.0000, 0.5000)  2 Au 2.38
Os (0.5000, 0.0000, 0.0000)  2 Au 2.38
Au (0.0000, 0.0000, 0.0000)  6 Os 2.38
Cr (0.5000, 0.5000, 0.5000)  12 Os 3.37

## Properties
space group: No. 221
energy of formation from the pure elements: 283 kJ/mol of atoms

# 5
Compound: Li2NiO2F
Source: Alexandria
Functional: meta-GGA SCAN
Structure: single point on PBEsol structure

Cell lengths 2.8512, 2.8512, 13.9275 Å; angles 90.00, 90.00, 120.00 degrees
Closest atoms and distances in Å follow each position.
Sites, in units of the cell vectors:
Li (0.0000, 0.0000, 0.5000)  6 O 2.09
Li (0.0000, 0.0000, 0.0000)  6 F 2.01
Li (0.6667, 0.3333, 0.8353)  3 F 2.00, 3 O 2.11
Li (0.3333, 0.6667, 0.1647)  3 F 2.00, 3 O 2.11
Ni (0.6667, 0.3333, 0.3329)  6 O 1.94
Ni (0.3333, 0.6667, 0.6671)  6 O 1.94
O (0.0000, 0.0000, 0.2591)  3 Ni 1.94, 3 Li 2.11
O (0.6667, 0.3333, 0.5928)  3 Ni 1.94, 3 Li 2.09
O (0.0000, 0.0000, 0.7409)  3 Ni 1.94, 3 Li 2.11
O (0.3333, 0.6667, 0.4072)  3 Ni 1.94, 3 Li 2.09
F (0.6667, 0.3333, 0.0825)  6 Li 2.00-2.01
F (0.3333, 0.6667, 0.9175)  6 Li 2.00-2.01

## Properties
space group: No. 164
uncorrected formation energy: -2.13 eV per atom
ΔE to the lowest computed polymorph: 0.00 eV per formula unit

# 6
Compound: HoPd2Pb
Source: Alexandria
Functional: meta-GGA SCAN
Structure: single point on PBEsol structure

Cell lengths 4.7682, 4.7682, 4.7682 Å; angles 60.00, 60.00, 60.00 degrees
Closest atoms and distances in Å follow each position.
Sites, in units of the cell vectors:
Pb (0.0000, 0.0000, 0.0000)  8 Pd 2.92
Ho (0.5000, 0.5000, 0.5000)  8 Pd 2.92
Pd (0.2500, 0.2500, 0.2500)  4 Ho 2.92, 4 Pb 2.92
Pd (0.7500, 0.7500, 0.7500)  4 Pb 2.92, 4 Ho 2.92

## Properties
space group: No. 225
energy of formation from the pure elements: -74 kJ/mol of atoms

# 7
Compound: Sc3AuN
Source: Alexandria
Functional: meta-GGA SCAN
Structure: single point on PBEsol structure

Cell lengths 6.1436, 6.1436, 6.1436 Å; angles 90.73, 119.53, 119.63 degrees
Closest atoms and distances in Å follow each position.
Sites, in units of the cell vectors:
Sc (0.0000, 0.7867, 0.2867)  2 N 2.21
Sc (0.5000, 0.7867, 0.7867)  2 N 2.21
Sc (0.5000, 0.2133, 0.2133)  2 N 2.21
Sc (0.0000, 0.2133, 0.7133)  2 N 2.21
Sc (0.4298, 0.6798, 0.2500)  2 N 2.20
Sc (0.5702, 0.3202, 0.7500)  2 N 2.20
Au (0.9935, 0.2435, 0.2500)  5 Sc 2.70-2.84
Au (0.0065, 0.7565, 0.7500)  5 Sc 2.70-2.84
N (0.5000, 0.5000, 0.0000)  6 Sc 2.20-2.21
N (0.5000, 0.0000, 0.5000)  6 Sc 2.20-2.21

## Properties
space group: No. 74
uncorrected formation energy: -1.47 eV per atom

# 8
Compound: LaAg2Pd2
Source: Alexandria
Functional: meta-GGA SCAN
Structure: single point on PBEsol structure

Cell lengths 3.9649, 3.9649, 6.9260 Å; angles 106.63, 106.63, 90.00 degrees
Closest atoms and distances in Å follow each position.
Sites, in units of the cell vectors:
Pd (0.3980, 0.3980, 0.7961)  1 Pd 2.58, 4 Ag 2.73
Pd (0.6020, 0.6020, 0.2039)  1 Pd 2.58, 4 Ag 2.73
Ag (0.2500, 0.7500, 0.5000)  4 Pd 2.73, 4 Ag 2.80
Ag (0.7500, 0.2500, 0.5000)  4 Pd 2.73, 4 Ag 2.80
La (0.0000, 0.0000, 0.0000)  8 Pd 3.09

## Properties
space group: No. 139
energy of formation from the pure elements: -47 kJ/mol of atoms

# 9
Compound: LiVF4
Source: Alexandria
Functional: meta-GGA SCAN
Structure: single point on PBEsol structure

Cell lengths 4.5626, 5.0648, 5.5139 Å; angles 90.00, 90.00, 92.21 degrees
Closest atoms and distances in Å follow each position.
Sites, in units of the cell vectors:
Li (0.5000, 0.7500, 0.6313)  6 F 1.99-2.09
Li (0.5000, 0.2500, 0.3687)  6 F 1.99-2.09
V (0.0000, 0.7500, 0.1521)  6 F 1.87-1.99
V (0.0000, 0.2500, 0.8479)  6 F 1.87-1.99
F (0.2229, 0.9210, 0.8829)  2 V 1.98-1.99, 1 Li 2.09
F (0.2229, 0.4210, 0.1171)  2 V 1.98-1.99, 1 Li 2.09
F (0.2616, 0.9117, 0.3713)  1 V 1.87, 2 Li 1.99
F (0.2616, 0.4117, 0.6287)  1 V 1.87, 2 Li 1.99
F (0.7384, 0.5883, 0.3713)  1 V 1.87, 2 Li 1.99
F (0.7384, 0.0883, 0.6287)  1 V 1.87, 2 Li 1.99
F (0.7771, 0.5790, 0.8829)  2 V 1.98-1.99, 1 Li 2.09
F (0.7771, 0.0790, 0.1171)  2 V 1.98-1.99, 1 Li 2.09

## Properties
space group: No. 13
uncorrected formation energy: -3.22 eV per atom
ΔE to the lowest computed polymorph: 0.00 eV per formula unit

# 10
Compound: CoNi2Rh
Source: Alexandria
Functional: meta-GGA SCAN
Structure: single point on PBEsol structure

Cell lengths 2.5413, 2.5413, 8.2875 Å; angles 81.18, 81.18, 60.00 degrees
Closest atoms and distances in Å follow each position.
Sites, in units of the cell vectors:
Ni (0.2535, 0.2535, 0.2394)  3 Co 2.44, 6 Ni 2.54, 3 Rh 2.58
Ni (0.7465, 0.7465, 0.7606)  3 Co 2.44, 6 Ni 2.54, 3 Rh 2.58
Rh (0.5000, 0.5000, 0.5000)  6 Rh 2.54, 6 Ni 2.58
Co (0.0000, 0.0000, 0.0000)  6 Ni 2.44, 6 Co 2.54

## Properties
space group: No. 166
energy of formation from the pure elements: 6 kJ/mol of atoms
ΔE to the lowest computed polymorph: 0.31 eV per formula unit

# 11
Compound: BaCa3Ag
Source: Alexandria
Functional: meta-GGA SCAN
Structure: single point on PBEsol structure

Cell lengths 5.8632, 5.8632, 5.8632 Å; angles 90.00, 90.00, 90.00 degrees
Closest atoms and distances in Å follow each position.
Sites, in units of the cell vectors:
Ca (0.0000, 0.5000, 0.0000)  2 Ag 2.93
Ca (0.0000, 0.0000, 0.5000)  2 Ag 2.93
Ca (0.5000, 0.0000, 0.0000)  2 Ag 2.93
Ba (0.5000, 0.5000, 0.5000)  12 Ca 4.15
Ag (0.0000, 0.0000, 0.0000)  6 Ca 2.93

## Properties
space group: No. 221
energy of formation from the pure elements: -12 kJ/mol of atoms

# 12
Compound: Be2ZnSi
Source: Alexandria
Functional: meta-GGA SCAN
Structure: single point on PBEsol structure

Cell lengths 3.5813, 3.5813, 4.3520 Å; angles 114.30, 114.30, 90.00 degrees
Closest atoms and distances in Å follow each position.
Sites, in units of the cell vectors:
Be (0.2500, 0.7500, 0.5000)  4 Si 2.52, 4 Zn 2.52, 4 Be 2.53
Be (0.7500, 0.2500, 0.5000)  4 Zn 2.52, 4 Si 2.52, 4 Be 2.53
Zn (0.0000, 0.0000, 0.0000)  8 Be 2.52, 4 Si 2.53
Si (0.5000, 0.5000, 0.0000)  8 Be 2.52, 4 Zn 2.53

## Properties
space group: No. 139
uncorrected formation energy: 0.33 eV per atom
ΔE to the lowest computed polymorph: 0.03 eV per formula unit